A relaxed structure of NaMgNiF6. Source: Alexandria, functional PBE+U.

## Properties
Total energy in eV per cell: -79.886
DOS at the Fermi energy in states/eV/f.u.: 0.0
Symmetry: P-31c, No. 163

Unit cell a=5.211 b=5.211 c=9.789 alpha=90.00 beta=90.00 gamma=120.00
Each line ends with the local moment (μB).
Fractional coordinates of all 18 atoms:
F1 0.356 0.370 0.857  0.10
F2 0.370 0.014 0.143  0.10
F3 0.644 0.014 0.357  0.10
F4 0.356 0.986 0.643  0.10
F5 0.644 0.630 0.143  0.10
F6 0.014 0.370 0.643  0.10
F7 0.370 0.356 0.357  0.10
F8 0.630 0.986 0.857  0.10
F9 0.630 0.644 0.643  0.10
F10 0.014 0.644 0.857  0.10
F11 0.986 0.630 0.357  0.10
F12 0.986 0.356 0.143  0.10
Ni1 0.667 0.333 0.250  2.30
Ni2 0.333 0.667 0.750  2.30
Na1 0.000 0.000 0.000  0.00
Na2 0.000 0.000 0.500  0.00
Mg1 0.333 0.667 0.250  0.00
Mg2 0.667 0.333 0.750  0.00